Entry 1:
## Nd3Hg2Au2 (PBE-GGA)

Data for crystalline Nd3Hg2Au2 at its relaxed geometry.

Summary:
The density of states at the Fermi level is 0.851 states/eV/atom. The energy relative to the elements is -0.52 eV/atom.

```
data_Nd3Hg2Au2
_chemical_formula_sum 'Nd3 Hg2 Au2'
_symmetry_space_group_name_H-M 'P -1'
_symmetry_Int_Tables_number 2
_cell_length_a 5.160
_cell_length_b 5.166
_cell_length_c 9.363
_cell_angle_alpha 74.84
_cell_angle_beta 74.83
_cell_angle_gamma 60.11
loop_
_symmetry_equiv_pos_as_xyz
'x,y,z'
'-x,-y,-z'
loop_
_atom_site_label
_atom_site_type_symbol
_atom_site_fract_x
_atom_site_fract_y
_atom_site_fract_z
Nd1 Nd 0.000 0.000 0.000
Nd2 Nd 0.229 0.228 0.331
Hg1 Hg 0.382 0.383 0.848
Au1 Au 0.105 0.107 0.668
```

***

Entry 2:
## Pm2RuC4 (PBE-GGA)

Data for crystalline Pm2RuC4 at its relaxed geometry.

Summary:
The density of states at the Fermi level is 0.118 states/eV/atom. The energy relative to the elements is -0.20 eV/atom.

```
data_Pm2RuC4
_chemical_formula_sum 'Pm8 Ru4 C16'
_symmetry_space_group_name_H-M 'I b a m'
_symmetry_Int_Tables_number 72
_symmetry_space_group_name_Hall '-I 2 2c'
_cell_length_a 7.843
_cell_length_b 9.815
_cell_length_c 5.401
_cell_angle_alpha 90.00
_cell_angle_beta 90.00
_cell_angle_gamma 90.00
loop_
_atom_site_label
_atom_site_type_symbol
_atom_site_fract_x
_atom_site_fract_y
_atom_site_fract_z
Pm1 Pm 0.149 0.150 0.000
Ru1 Ru 0.000 0.500 0.250
C1 C 0.165 0.125 0.500
C2 C 0.173 0.425 0.000
```

***

Entry 3:
## Er3Pd2Au (PBE-GGA)

Data for crystalline Er3Pd2Au at its relaxed geometry.

Summary:
The density of states at the Fermi level is 0.628 states/eV/atom. The energy relative to the elements is -0.90 eV/atom.

```
data_Er3Pd2Au
_chemical_formula_sum 'Er6 Pd4 Au2'
_symmetry_space_group_name_H-M 'P -3 m 1'
_symmetry_Int_Tables_number 164
_symmetry_space_group_name_Hall '-P 3 2"'
_cell_length_a 4.9610
_cell_length_b 4.9610
_cell_length_c 12.1617
_cell_angle_alpha 90.00
_cell_angle_beta 90.00
_cell_angle_gamma 120.00
loop_
_atom_site_label
_atom_site_type_symbol
_atom_site_fract_x
_atom_site_fract_y
_atom_site_fract_z
Er1 Er 0.0000 0.0000 0.2456
Er2 Er 0.3333 0.6667 0.4155
Er3 Er 0.3333 0.6667 0.9193
Pd1 Pd 0.0000 0.0000 0.0000
Pd2 Pd 0.0000 0.0000 0.5000
Pd3 Pd 0.3333 0.6667 0.1624
Au1 Au 0.3333 0.6667 0.6651
```

***

Entry 4:
## Sm6Tc2Pd (PBE-GGA)

Data for crystalline Sm6Tc2Pd at its relaxed geometry.

Summary:
The density of states at the Fermi level is 0.926 states/eV/atom. The energy relative to the elements is -0.16 eV/atom.

```
data_Sm6Tc2Pd
_chemical_formula_sum 'Sm24 Tc8 Pd4'
_symmetry_space_group_name_H-M 'I m m m'
_symmetry_Int_Tables_number 71
_symmetry_space_group_name_Hall '-I 2 2'
_cell_length_a 9.669
_cell_length_b 9.810
_cell_length_c 10.096
_cell_angle_alpha 90.00
_cell_angle_beta 90.00
_cell_angle_gamma 90.00
loop_
_atom_site_label
_atom_site_type_symbol
_atom_site_fract_x
_atom_site_fract_y
_atom_site_fract_z
Sm1 Sm 0.000 0.188 0.167
Sm2 Sm 0.178 0.239 0.500
Sm3 Sm 0.194 0.500 0.242
Tc1 Tc 0.000 0.000 0.386
Tc2 Tc 0.177 0.000 0.000
Pd1 Pd 0.000 0.500 0.000
Pd2 Pd 0.000 0.500 0.500
```